A plane-wave DFT calculation with PBE-GGA was carried out for a relaxed structure of Pm12CoCu6.

Lattice parameters (Å, degrees): 8.011 8.011 8.011 92.91 92.91 92.91
Positions (direct):
1 Pm 0.808 0.573 0.454
2 Pm 0.454 0.808 0.573
3 Pm 0.573 0.454 0.808
4 Pm 0.192 0.427 0.546
5 Pm 0.546 0.192 0.427
6 Pm 0.427 0.546 0.192
7 Pm 0.958 0.084 0.317
8 Pm 0.916 0.683 0.042
9 Pm 0.683 0.042 0.916
10 Pm 0.042 0.916 0.683
11 Pm 0.084 0.317 0.958
12 Pm 0.317 0.958 0.084
13 Co 0.000 0.000 0.000
14 Cu 0.649 0.854 0.259
15 Cu 0.741 0.351 0.146
16 Cu 0.146 0.741 0.351
17 Cu 0.351 0.146 0.741
18 Cu 0.259 0.649 0.854
19 Cu 0.854 0.259 0.649

## Properties
- ΔE_f: -0.009 eV per atom
- Total magnetization: 0.000 μB/atom